! PmPrThSc | Alexandria | PBE | relaxed; values from VASP
&SYSTEM
  ibrav = 0, nat = 4, ntyp = 4
/
ATOMIC_SPECIES
Pm 145.00 Pm.upf
Pr 140.91 Pr.upf
Th 232.04 Th.upf
Sc 44.96 Sc.upf
ATOMIC_POSITIONS crystal
Pm 0.000 0.000 0.000
Pr 0.250 0.250 0.250
Th 0.750 0.750 0.750
Sc 0.500 0.500 0.500
CELL_PARAMETERS angstrom
0.000 3.984 3.984
3.984 0.000 3.984
3.984 3.984 0.000
! - Density of states at the Fermi level: 7.63 states/eV/f.u.
! - Total moment: 0.0 μB per cell
! - ΔE_f: 14.5 kJ/mol of atoms
! - E above lowest polymorph: 0.457 eV/f.u.
! - Symmetry: No. 216